NaAg3Te2: optimized geometry, GGA-PBE.

Unit cell a=17.420 b=4.499 c=9.595 alpha=90.00 beta=122.14 gamma=90.00
Space group C2/m (No. 12)
One atom of each set of equivalent atoms:
1 Na 0.125 0.000 0.117 x4
2 Ag 0.046 0.000 0.398 x4
3 Ag 0.096 0.500 0.643 x4
4 Ag 0.183 0.500 0.449 x4
5 Te 0.011 0.500 0.818 x4
6 Te 0.217 0.000 0.706 x4

Properties
DOS at the Fermi energy: 0.408 states/eV/f.u.

---

NaAg4Te3: optimized geometry, GGA-PBE.

Unit cell a=4.368 b=4.368 c=11.241 alpha=90.00 beta=90.00 gamma=90.00
Space group P4/mmm (No. 123)
One atom of each set of equivalent atoms:
1 Na 0.000 0.000 0.000 x1
2 Ag 0.000 0.500 0.325 x4
3 Te 0.000 0.000 0.500 x1
4 Te 0.500 0.500 0.163 x2

Properties
Relative energy among the computed polymorphs: 14 kJ/mol of formula units
DOS at the Fermi energy: 3.150 states/eV/f.u.

---

Ordered formation energy (no corrections) results: -0.2935; -0.2029; unit eV/atom.